<a>
First-principles (PBE) data for an optimized crystal structure of HfGa2Ir2, as listed in the Alexandria database.

Cell lengths 7.4585, 7.4585, 2.8453 Å; angles 90.00, 90.00, 90.00 degrees
Last column: nearest neighbours and their distance in Å.
Fractional positions:
1 Hf 0.0000 0.0000 0.0000  2 Hf 2.85, 4 Ga 2.95, 8 Ir 3.10
2 Hf 0.5000 0.5000 0.0000  2 Hf 2.85, 4 Ga 2.95, 8 Ir 3.10
3 Ga 0.1236 0.3764 0.0000  6 Ir 2.56-2.67, 3 Ga 2.61-2.85
4 Ga 0.3764 0.8764 0.0000  6 Ir 2.56-2.67, 3 Ga 2.61-2.85
5 Ga 0.6236 0.1236 0.0000  6 Ir 2.56-2.67, 3 Ga 2.61-2.85
6 Ga 0.8764 0.6236 0.0000  6 Ir 2.56-2.67, 3 Ga 2.61-2.85
7 Ir 0.1749 0.6749 0.5000  6 Ga 2.56-2.67, 2 Ir 2.85
8 Ir 0.3251 0.1749 0.5000  6 Ga 2.56-2.67, 2 Ir 2.85
9 Ir 0.6749 0.8251 0.5000  6 Ga 2.56-2.67, 2 Ir 2.85
10 Ir 0.8251 0.3251 0.5000  6 Ga 2.56-2.67, 2 Ir 2.85



<b>
First-principles (PBE) data for an optimized crystal structure of HfGa2Ir2, as listed in the Alexandria database.

Cell lengths 7.3881, 7.3881, 2.9586 Å; angles 90.00, 90.00, 90.00 degrees
Last column: nearest neighbours and their distance in Å.
Fractional positions:
1 Hf 0.0000 0.0000 0.0000  4 Ir 2.84, 2 Hf 2.96, 8 Ga 3.16
2 Hf 0.5000 0.5000 0.0000  4 Ir 2.84, 2 Hf 2.96, 8 Ga 3.16
3 Ga 0.1544 0.3456 0.5000  6 Ir 2.58-2.65
4 Ga 0.3456 0.8456 0.5000  6 Ir 2.58-2.65
5 Ga 0.6544 0.1544 0.5000  6 Ir 2.58-2.65
6 Ga 0.8456 0.6544 0.5000  6 Ir 2.58-2.65
7 Ir 0.1430 0.6430 0.0000  6 Ga 2.58-2.65, 2 Hf 2.84
8 Ir 0.3570 0.1430 0.0000  6 Ga 2.58-2.65, 2 Hf 2.84
9 Ir 0.6430 0.8570 0.0000  6 Ga 2.58-2.65, 2 Hf 2.84
10 Ir 0.8570 0.3570 0.0000  6 Ga 2.58-2.65, 2 Hf 2.84



Most favorable structure: <a>. The second most favorable one is 63 meV per atom above it.



<a>
First-principles (PBE) data for an optimized crystal structure of Hf4GaIr, as listed in the Alexandria database.

Cell lengths 7.2748, 7.2748, 7.2748 Å; angles 125.58, 125.58, 80.58 degrees
Last column: nearest neighbours and their distance in Å.
Fractional positions:
1 Hf 0.0248 0.5248 0.8243  2 Ir 2.79, 2 Ga 2.92, 3 Hf 3.00-3.05
2 Hf 0.2005 0.0248 0.5000  2 Ir 2.79, 2 Ga 2.92, 3 Hf 3.00-3.05
3 Hf 0.2995 0.7995 0.8243  2 Ir 2.79, 2 Ga 2.92, 3 Hf 3.00-3.05
4 Hf 0.4752 0.2995 0.5000  2 Ir 2.79, 2 Ga 2.92, 3 Hf 3.00-3.05
5 Hf 0.5248 0.7005 0.5000  2 Ir 2.79, 2 Ga 2.92, 3 Hf 3.00-3.05
6 Hf 0.7005 0.2005 0.1757  2 Ir 2.79, 2 Ga 2.92, 3 Hf 3.00-3.05
7 Hf 0.7995 0.9752 0.5000  2 Ir 2.79, 2 Ga 2.92, 3 Hf 3.00-3.05
8 Hf 0.9752 0.4752 0.1757  2 Ir 2.79, 2 Ga 2.92, 3 Hf 3.00-3.05
9 Ga 0.0000 0.0000 0.0000  2 Ir 2.77, 8 Hf 2.92
10 Ga 0.5000 0.5000 0.0000  2 Ir 2.77, 8 Hf 2.92
11 Ir 0.2500 0.2500 0.0000  2 Ga 2.77, 8 Hf 2.79
12 Ir 0.7500 0.7500 0.0000  2 Ga 2.77, 8 Hf 2.79



<b>
First-principles (PBE) data for an optimized crystal structure of Hf4GaIr, as listed in the Alexandria database.

Cell lengths 4.4842, 4.5144, 6.5421 Å; angles 90.00, 90.11, 90.00 degrees
Last column: nearest neighbours and their distance in Å.
Fractional positions:
1 Hf 0.0003 0.0000 0.2424  2 Ir 2.74-2.75, 2 Ga 2.82
2 Hf 0.9997 0.0000 0.7576  2 Ir 2.74-2.75, 2 Ga 2.82
3 Hf 0.5001 0.5000 0.2418  2 Ir 2.76, 2 Ga 2.80-2.81
4 Hf 0.4999 0.5000 0.7582  2 Ir 2.76, 2 Ga 2.80-2.81
5 Ga 0.0000 0.5000 0.5000  8 Hf 2.80-2.82
6 Ir 0.5000 0.0000 0.0000  8 Hf 2.74-2.76



Most favorable structure: <a>. The second most favorable one is 30 meV per atom above it.



<a>
First-principles (PBE) data for an optimized crystal structure of Hf2Ga4Ir, as listed in the Alexandria database.

Cell lengths 7.4812, 7.4812, 7.4812 Å; angles 142.69, 142.69, 53.79 degrees
Last column: nearest neighbours and their distance in Å.
Fractional positions:
1 Hf 0.1108 0.1108 0.0000  5 Ga 2.69-2.81, 1 Hf 2.96
2 Hf 0.8892 0.8892 0.0000  5 Ga 2.69-2.81, 1 Hf 2.96
3 Ga 0.0000 0.5000 0.5000  2 Ir 2.39
4 Ga 0.3126 0.3126 0.0000  1 Ir 2.50, 1 Hf 2.69
5 Ga 0.5000 0.0000 0.5000  2 Ir 2.39
6 Ga 0.6874 0.6874 0.0000  1 Ir 2.50, 1 Hf 2.69
7 Ir 0.5000 0.5000 0.0000  6 Ga 2.39-2.50



<b>
First-principles (PBE) data for an optimized crystal structure of Hf2Ga4Ir, as listed in the Alexandria database.

Cell lengths 5.7643, 5.6965, 5.5271 Å; angles 61.78, 60.55, 57.66 degrees
Last column: nearest neighbours and their distance in Å.
Fractional positions:
1 Hf 0.0000 0.0000 0.5000  2 Ir 2.76, 8 Ga 2.84-2.92
2 Hf 0.5000 0.5000 0.0000  2 Ir 2.76, 8 Ga 2.84-2.92
3 Ga 0.0302 0.4613 0.5387  1 Ir 2.72, 4 Ga 2.79, 4 Hf 2.84-2.89
4 Ga 0.4613 0.0302 0.9698  1 Ir 2.72, 4 Ga 2.79, 4 Hf 2.84-2.89
5 Ga 0.5408 0.9686 0.4592  2 Ir 2.71-3.01, 4 Ga 2.79, 4 Hf 2.87-2.92
6 Ga 0.9686 0.5408 0.0314  2 Ir 2.71-3.01, 4 Ga 2.79, 4 Hf 2.87-2.92
7 Ir 0.4988 0.4988 0.5012  6 Ga 2.71-3.01, 4 Hf 2.76



Most favorable structure: <b>. The second most favorable one is 559 meV per atom above it.



<a>
First-principles (PBE) data for an optimized crystal structure of KHf3Ga, as listed in the Alexandria database.

Cell lengths 5.1931, 5.1931, 5.1931 Å; angles 90.00, 90.00, 90.00 degrees
Last column: nearest neighbours and their distance in Å.
Fractional positions:
1 K 0.0000 0.0000 0.0000  12 Hf 3.67
2 Hf 0.0000 0.5000 0.5000  2 Ga 2.60
3 Hf 0.5000 0.0000 0.5000  2 Ga 2.60
4 Hf 0.5000 0.5000 0.0000  2 Ga 2.60
5 Ga 0.5000 0.5000 0.5000  6 Hf 2.60



<b>
First-principles (PBE) data for an optimized crystal structure of KHf3Ga, as listed in the Alexandria database.

Cell lengths 4.8864, 4.8864, 4.8864 Å; angles 90.00, 90.00, 90.00 degrees
Last column: nearest neighbours and their distance in Å.
Fractional positions:
1 K 0.0000 0.0000 0.0000  6 Hf 2.44
2 Hf 0.0000 0.0000 0.5000  2 K 2.44
3 Hf 0.0000 0.5000 0.0000  2 K 2.44
4 Hf 0.5000 0.0000 0.0000  2 K 2.44
5 Ga 0.5000 0.5000 0.5000  12 Hf 3.46



Most favorable structure: <a>. The second most favorable one is 1176 meV per atom above it.



<a>
First-principles (PBE) data for an optimized crystal structure of La3HfGa, as listed in the Alexandria database.

Cell lengths 5.6801, 5.6801, 5.6801 Å; angles 90.00, 90.00, 90.00 degrees
Last column: nearest neighbours and their distance in Å.
Fractional positions:
1 La 0.0000 0.0000 0.5000  2 Ga 2.84
2 La 0.0000 0.5000 0.0000  2 Ga 2.84
3 La 0.5000 0.0000 0.0000  2 Ga 2.84
4 Hf 0.5000 0.5000 0.5000  12 La 4.02
5 Ga 0.0000 0.0000 0.0000  6 La 2.84



<b>
First-principles (PBE) data for an optimized crystal structure of La3HfGa, as listed in the Alexandria database.

Cell lengths 5.8384, 5.8384, 5.8384 Å; angles 90.00, 90.00, 90.00 degrees
Last column: nearest neighbours and their distance in Å.
Fractional positions:
1 La 0.0000 0.0000 0.5000  2 Hf 2.92
2 La 0.0000 0.5000 0.0000  2 Hf 2.92
3 La 0.5000 0.0000 0.0000  2 Hf 2.92
4 Hf 0.0000 0.0000 0.0000  6 La 2.92
5 Ga 0.5000 0.5000 0.5000  12 La 4.13



Most favorable structure: <a>. The second most favorable one is 36 meV per atom above it.



<a>
First-principles (PBE) data for an optimized crystal structure of LiHfGa2, as listed in the Alexandria database.

Cell lengths 5.7400, 5.7400, 5.7400 Å; angles 104.66, 104.66, 119.59 degrees
Last column: nearest neighbours and their distance in Å.
Fractional positions:
1 Li 0.0000 0.0000 0.0000  4 Ga 2.42
2 Li 0.7500 0.2500 0.5000  4 Ga 2.42
3 Hf 0.2500 0.7500 0.5000  4 Ga 2.76, 2 Li 2.89
4 Hf 0.5000 0.5000 0.0000  4 Ga 2.76, 2 Li 2.89
5 Ga 0.0901 0.6250 0.9651  2 Li 2.42
6 Ga 0.3750 0.3401 0.4651  2 Li 2.42
7 Ga 0.6599 0.1250 0.0349  2 Li 2.42
8 Ga 0.8750 0.9099 0.5349  2 Li 2.42



<b>
First-principles (PBE) data for an optimized crystal structure of LiHfGa2, as listed in the Alexandria database.

Cell lengths 4.6102, 4.6102, 4.6102 Å; angles 60.00, 60.00, 60.00 degrees
Last column: nearest neighbours and their distance in Å.
Fractional positions:
1 Li 0.0000 0.0000 0.0000  8 Ga 2.82
2 Hf 0.5000 0.5000 0.5000  8 Ga 2.82
3 Ga 0.2500 0.2500 0.2500  4 Hf 2.82, 4 Li 2.82
4 Ga 0.7500 0.7500 0.7500  4 Hf 2.82, 4 Li 2.82



Most favorable structure: <b>. The second most favorable one is 197 meV per atom above it.